No. 1
DFT (GGA-PBE) results for a relaxed Al2CdI2Br6 crystal.

Unit cell a=6.775 b=6.775 c=12.443 alpha=90.00 beta=90.00 gamma=120.00
Positions (direct):
1 Al 0.333 0.667 0.797
2 Al 0.667 0.333 0.203
3 Cd 0.000 0.000 0.000
4 I 0.333 0.667 0.598
5 I 0.667 0.333 0.402
6 Br 0.335 0.340 0.864
7 Br 0.005 0.665 0.864
8 Br 0.660 0.995 0.864
9 Br 0.665 0.660 0.136
10 Br 0.995 0.335 0.136
11 Br 0.340 0.005 0.136

As for the total moment: 0.00 μB/f.u. The value obtained for the total energy is -2.8586 eV per atom. Its formation energy from raw total energies is -0.901 eV/atom.

=====

No. 2
DFT (GGA-PBE) results for a relaxed B5C7 crystal.

Unit cell a=6.666 b=7.245 c=7.245 alpha=159.67 beta=139.85 gamma=45.84
Positions (direct):
1 B 0.978 0.328 0.650
2 B 0.555 0.286 0.269
3 B 0.559 0.169 0.390
4 B 0.144 0.131 0.013
5 B 0.637 0.958 0.679
6 C 0.028 0.002 0.027
7 C 0.467 0.835 0.632
8 C 0.123 0.787 0.336
9 C 0.995 0.670 0.325
10 C 0.650 0.620 0.029
11 C 0.491 0.504 0.987
12 C 0.123 0.460 0.663

The energy above the most stable polymorph in this dataset is 0.979 eV per formula unit. As for the total moment: 0.00 μB/f.u. The value obtained for the total energy is -7.8233 eV per atom. The value obtained for the formation energy is 0.340 eV/atom.

=====

No. 3
DFT (GGA-PBE) results for a relaxed Pa2IO8F crystal.

Unit cell a=4.870 b=4.202 c=7.466 alpha=83.46 beta=84.48 gamma=88.01
Positions (direct):
1 Pa 0.632 0.750 0.686
2 Pa 0.368 0.250 0.314
3 I 0.000 0.000 0.000
4 O 0.143 0.747 0.202
5 O 0.701 0.742 0.979
6 O 0.787 0.216 0.183
7 O 0.857 0.253 0.798
8 O 0.299 0.258 0.021
9 O 0.213 0.784 0.817
10 O 0.519 0.760 0.411
11 O 0.481 0.240 0.589
12 F 0.000 0.000 0.500

As for the total moment: 0.00 μB/f.u. The value obtained for the total energy is -7.3112 eV per atom. Its formation energy from raw total energies is -2.138 eV/atom.